Entry 1:
SrScHg2S: relaxed, PBE-GGA.

## Properties
The energy relative to the elements, uncorrected is 4.38 eV/f.u. As for the symmetry: P4/mmm (123).

Unit cell a=5.8377 b=6.4656 c=5.8377 alpha=90.00 beta=90.00 gamma=90.00
Last column: nearest neighbours and their distance in Å.
Sites, in units of the cell vectors:
S 0.5000 0.5000 0.5000  4 Sc 4.13, 8 Hg 4.36
Hg 0.0000 0.0000 0.5000  2 Sr 2.92
Hg 0.5000 0.0000 0.0000  2 Sr 2.92
Sc 0.0000 0.5000 0.0000  2 Sr 3.23
Sr 0.0000 0.0000 0.0000  4 Hg 2.92, 2 Sc 3.23

Entry 2:
TcHSe2Br: relaxed, PBE-GGA.

## Properties
As for the symmetry: P4/mmm (123). The calculation puts the distance to the lowest polymorph of the same formula at 228 meV per atom.

Unit cell a=3.9962 b=6.2346 c=3.9962 alpha=90.00 beta=90.00 gamma=90.00
Last column: nearest neighbours and their distance in Å.
Sites, in units of the cell vectors:
Se 0.5000 0.0000 0.0000  2 H 2.00
Se 0.0000 0.0000 0.5000  2 H 2.00
H 0.0000 0.0000 0.0000  4 Se 2.00
Tc 0.5000 0.5000 0.5000  4 Br 2.83
Br 0.0000 0.5000 0.0000  4 Tc 2.83, 2 H 3.12

Entry 3:
Sm6Ho5Er2: relaxed, PBE-GGA.

## Properties
As for the symmetry: Pbam (55). As for the electronic total energy: -0.167 Ha/atom.

Unit cell a=3.5935 b=11.6336 c=20.3839 alpha=90.00 beta=90.00 gamma=90.00
Last column: nearest neighbours and their distance in Å.
Sites, in units of the cell vectors:
Sm 0.0000 0.9170 0.6326  1 Er 3.32, 6 Ho 3.39-3.50, 4 Sm 3.47-3.59
Sm 0.0000 0.5601 0.4196  6 Ho 3.50-3.65, 5 Sm 3.56-3.76, 1 Er 3.73
Sm 0.0000 0.9399 0.9196  6 Ho 3.50-3.65, 5 Sm 3.56-3.76, 1 Er 3.73
Sm 0.5000 0.1724 0.6354  2 Ho 3.31-3.41, 4 Sm 3.47-3.59, 2 Er 3.62
Sm 0.5000 0.8276 0.3646  2 Ho 3.31-3.41, 4 Sm 3.47-3.59, 2 Er 3.62
Sm 0.0000 0.0601 0.0804  6 Ho 3.50-3.65, 5 Sm 3.56-3.76, 1 Er 3.73
Sm 0.0000 0.4399 0.5804  6 Ho 3.50-3.65, 5 Sm 3.56-3.76, 1 Er 3.73
Sm 0.0000 0.0830 0.3674  1 Er 3.32, 6 Ho 3.39-3.50, 4 Sm 3.47-3.59
Sm 0.0000 0.4170 0.8674  1 Er 3.32, 6 Ho 3.39-3.50, 4 Sm 3.47-3.59
Sm 0.5000 0.3276 0.1354  2 Ho 3.31-3.41, 4 Sm 3.47-3.59, 2 Er 3.62
Sm 0.5000 0.6724 0.8646  2 Ho 3.31-3.41, 4 Sm 3.47-3.59, 2 Er 3.62
Sm 0.0000 0.5830 0.1326  1 Er 3.32, 6 Ho 3.39-3.50, 4 Sm 3.47-3.59
Er 0.0000 0.3337 0.2898  3 Sm 3.32-3.62, 6 Ho 3.51-3.67, 2 Er 3.59
Er 0.0000 0.6663 0.7102  3 Sm 3.32-3.62, 6 Ho 3.51-3.67, 2 Er 3.59
Er 0.0000 0.1663 0.7898  3 Sm 3.32-3.62, 6 Ho 3.51-3.67, 2 Er 3.59
Er 0.0000 0.8337 0.2102  3 Sm 3.32-3.62, 6 Ho 3.51-3.67, 2 Er 3.59
Ho 0.5000 0.5917 0.2736  5 Sm 3.31-3.50, 4 Er 3.51-3.58, 2 Ho 3.59
Ho 0.5000 0.9083 0.7736  5 Sm 3.31-3.50, 4 Er 3.51-3.58, 2 Ho 3.59
Ho 0.5000 0.6981 0.5544  6 Sm 3.50-3.65, 3 Ho 3.59-3.68, 2 Er 3.67
Ho 0.5000 0.4083 0.7264  5 Sm 3.31-3.50, 4 Er 3.51-3.58, 2 Ho 3.59
Ho 0.5000 0.0917 0.2264  5 Sm 3.31-3.50, 4 Er 3.51-3.58, 2 Ho 3.59
Ho 0.5000 0.8019 0.0544  6 Sm 3.50-3.65, 3 Ho 3.59-3.68, 2 Er 3.67
Ho 0.5000 0.3019 0.4456  6 Sm 3.50-3.65, 3 Ho 3.59-3.68, 2 Er 3.67
Ho 0.5000 0.0000 0.5000  6 Sm 3.39-3.41, 4 Ho 3.59-3.68
Ho 0.5000 0.5000 0.0000  6 Sm 3.39-3.41, 4 Ho 3.59-3.68
Ho 0.5000 0.1981 0.9456  6 Sm 3.50-3.65, 3 Ho 3.59-3.68, 2 Er 3.67

Computed D(E_F) (states/eV/cell) in order:
11.04; 2.17; 30.34